FeMo | SCAN | PBEsol geometry

Cell and atoms, written as CIF:
```
data_FeMo
_symmetry_space_group_name_H-M 'C m m e'
_symmetry_Int_Tables_number 67
_symmetry_space_group_name_Hall '-C 2a 2'
_cell_length_a 3.089
_cell_length_b 4.179
_cell_length_c 8.205
_cell_angle_alpha 90.00
_cell_angle_beta 90.00
_cell_angle_gamma 90.00
loop_
_atom_site_label
_atom_site_type_symbol
_atom_site_fract_x
_atom_site_fract_y
_atom_site_fract_z
Fe1 Fe 0.000 0.250 0.113
Mo1 Mo 0.000 0.250 0.638
```

Values from the calculation:
The calculation puts the raw total energy at -26.432 eV/atom.



Mn2SnSeN | SCAN | PBEsol geometry

Cell and atoms, written as CIF:
```
data_Mn2SnSeN
_symmetry_space_group_name_H-M 'P 4/m m m'
_symmetry_Int_Tables_number 123
_symmetry_space_group_name_Hall '-P 4 2'
_cell_length_a 4.490
_cell_length_b 4.490
_cell_length_c 5.664
_cell_angle_alpha 90.00
_cell_angle_beta 90.00
_cell_angle_gamma 90.00
loop_
_atom_site_label
_atom_site_type_symbol
_atom_site_fract_x
_atom_site_fract_y
_atom_site_fract_z
Mn1 Mn 0.000 0.500 0.000
Sn1 Sn 0.000 0.000 0.500
Se1 Se 0.000 0.000 0.000
N1 N 0.500 0.500 0.500
```

Values from the calculation:
Its uncorrected formation energy is 1.186 eV per atom.



TlIn2Os | SCAN | PBEsol geometry

Cell and atoms, written as CIF:
```
data_TlIn2Os
_symmetry_space_group_name_H-M 'P m m 2'
_symmetry_Int_Tables_number 25
_cell_length_a 3.374
_cell_length_b 4.102
_cell_length_c 5.772
_cell_angle_alpha 90.00
_cell_angle_beta 90.00
_cell_angle_gamma 90.00
loop_
_symmetry_equiv_pos_as_xyz
'x,y,z'
'-x,-y,z'
'-x,y,z'
'x,-y,z'
loop_
_atom_site_label
_atom_site_type_symbol
_atom_site_fract_x
_atom_site_fract_y
_atom_site_fract_z
Tl1 Tl 0.000 0.000 0.000
In1 In 0.000 0.000 0.530
In2 In 0.500 0.500 0.248
Os1 Os 0.500 0.500 0.730
```

Values from the calculation:
For the polymorph energy (0 for the lowest one), the calculation gives 0.272 eV/atom.



LuNiC2 | SCAN | PBEsol geometry

Cell and atoms, written as CIF:
```
data_LuNiC2
_symmetry_space_group_name_H-M 'A m m 2'
_symmetry_Int_Tables_number 38
_cell_length_a 3.401
_cell_length_b 4.454
_cell_length_c 5.863
_cell_angle_alpha 90.00
_cell_angle_beta 90.00
_cell_angle_gamma 90.00
loop_
_symmetry_equiv_pos_as_xyz
'x,y,z'
'-x,-y,z'
'-x,y,z'
'x,-y,z'
'x,y+1/2,z+1/2'
'-x,-y+1/2,z+1/2'
'-x,y+1/2,z+1/2'
'x,-y+1/2,z+1/2'
loop_
_atom_site_label
_atom_site_type_symbol
_atom_site_fract_x
_atom_site_fract_y
_atom_site_fract_z
Lu1 Lu 0.000 0.000 0.000
Ni1 Ni 0.500 0.000 0.390
C1 C 0.500 0.155 0.701
```

Values from the calculation:
The calculation puts the raw total energy at -23.364 eV/atom.



Please write out number 4 again, unchanged.
LuNiC2 | SCAN | PBEsol geometry

Cell and atoms, written as CIF:
```
data_LuNiC2
_symmetry_space_group_name_H-M 'A m m 2'
_symmetry_Int_Tables_number 38
_cell_length_a 3.401
_cell_length_b 4.454
_cell_length_c 5.863
_cell_angle_alpha 90.00
_cell_angle_beta 90.00
_cell_angle_gamma 90.00
loop_
_symmetry_equiv_pos_as_xyz
'x,y,z'
'-x,-y,z'
'-x,y,z'
'x,-y,z'
'x,y+1/2,z+1/2'
'-x,-y+1/2,z+1/2'
'-x,y+1/2,z+1/2'
'x,-y+1/2,z+1/2'
loop_
_atom_site_label
_atom_site_type_symbol
_atom_site_fract_x
_atom_site_fract_y
_atom_site_fract_z
Lu1 Lu 0.000 0.000 0.000
Ni1 Ni 0.500 0.000 0.390
C1 C 0.500 0.155 0.701
```

Values from the calculation:
The calculation puts the raw total energy at -23.364 eV/atom.



Repeat the second record exactly.
Mn2SnSeN | SCAN | PBEsol geometry

Cell and atoms, written as CIF:
```
data_Mn2SnSeN
_symmetry_space_group_name_H-M 'P 4/m m m'
_symmetry_Int_Tables_number 123
_symmetry_space_group_name_Hall '-P 4 2'
_cell_length_a 4.490
_cell_length_b 4.490
_cell_length_c 5.664
_cell_angle_alpha 90.00
_cell_angle_beta 90.00
_cell_angle_gamma 90.00
loop_
_atom_site_label
_atom_site_type_symbol
_atom_site_fract_x
_atom_site_fract_y
_atom_site_fract_z
Mn1 Mn 0.000 0.500 0.000
Sn1 Sn 0.000 0.000 0.500
Se1 Se 0.000 0.000 0.000
N1 N 0.500 0.500 0.500
```

Values from the calculation:
Its uncorrected formation energy is 1.186 eV per atom.